(1)
Entry from Alexandria via LeMat-Bulk: crystalline SmCd3Pd at its relaxed geometry (GGA-PBE).

**ΔH_f (0 K)**: -0.123 eV/atom
**DOS(E_F)**: 0.639 states/eV/atom
**ΔE to the lowest computed polymorph**: 308 meV per atom

Cell lengths 5.4782, 5.4782, 18.6287 Å; angles 90.00, 90.00, 90.00 degrees
With the nearest neighbours (Å) after each atom.
Space group I-4m2 (No. 119)
One atom of each set of equivalent atoms:
Sm  0.0000  0.0000  0.1985 x4  2 Pd 2.90
Cd  0.0000  0.2474  0.6233 x8  2 Pd 2.67-2.74, 2 Cd 2.71-2.77
Cd  0.0000  0.5000  0.0441 x4  2 Pd 2.86
Pd  0.0000  0.0000  0.5000 x2  8 Cd 2.67-2.86
Pd  0.0000  0.5000  0.7500 x2  4 Cd 2.74, 4 Sm 2.90

(2)
Entry from Alexandria via LeMat-Bulk: crystalline CrCdOs2 at its relaxed geometry (GGA-PBE).

**ΔH_f (0 K)**: 0.725 eV/atom
**DOS(E_F)**: 1.324 states/eV/atom

Cell lengths 6.2850, 6.2850, 6.2850 Å; angles 90.00, 90.00, 90.00 degrees
With the nearest neighbours (Å) after each atom.
Space group F-43m (No. 216)
One atom of each set of equivalent atoms:
Cr  0.0000  0.0000  0.0000 x4  4 Os 2.72, 4 Cd 2.72
Cd  0.2500  0.2500  0.2500 x4  4 Cr 2.72, 4 Os 2.72
Os  0.0000  0.0000  0.5000 x4  4 Cd 2.72, 4 Os 2.72
Os  0.2500  0.2500  0.7500 x4  4 Cr 2.72, 4 Os 2.72

(3)
Entry from Alexandria via LeMat-Bulk: crystalline BeCuMo at its relaxed geometry (GGA-PBE).

**ΔH_f (0 K)**: 0.207 eV/atom
**DOS(E_F)**: 0.698 states/eV/atom
**ΔE to the lowest computed polymorph**: 183 meV per atom

Cell lengths 3.8645, 3.8645, 2.8272 Å; angles 90.00, 90.00, 120.00 degrees
With the nearest neighbours (Å) after each atom.
Space group P-6m2 (No. 187)
One atom of each set of equivalent atoms:
Be  0.0000  0.0000  0.0000 x1  3 Cu 2.23
Cu  0.3333  0.6667  0.0000 x1  3 Be 2.23
Mo  0.6667  0.3333  0.5000 x1  6 Be 2.64, 6 Cu 2.64, 2 Mo 2.83

(4)
Entry from Alexandria via LeMat-Bulk: crystalline YAuSe2 at its relaxed geometry (GGA-PBE).

**DOS(E_F)**: 0.004 states/eV/atom
**Formation energy without anion corrections**: -1.058 eV/atom

Cell lengths 4.2095, 4.3198, 5.4026 Å; angles 90.00, 92.26, 90.00 degrees
With the nearest neighbours (Å) after each atom.
Space group Pm (No. 6)
One atom of each set of equivalent atoms:
Y  0.0000  0.0000  0.0000 x1  4 Se 2.81-2.88
Au  0.8850  0.5000  0.4246 x1  3 Se 2.57-2.68
Se  0.2026  0.0000  0.5098 x1  2 Au 2.57, 2 Y 2.81-2.85
Se  0.5484  0.5000  0.9926 x1  1 Au 2.68, 2 Y 2.88

(5)
Entry from Alexandria via LeMat-Bulk: crystalline LiCd3Ga at its relaxed geometry (GGA-PBE).

**ΔH_f (0 K)**: -0.068 eV/atom
**DOS(E_F)**: 0.379 states/eV/atom
**ΔE to the lowest computed polymorph**: 0 meV per atom

Cell lengths 12.7785, 12.6234, 5.6964 Å; angles 90.00, 113.42, 90.00 degrees
With the nearest neighbours (Å) after each atom.
Space group C2/c (No. 15)
One atom of each set of equivalent atoms:
Li  0.0000  0.0088  0.2500 x4  4 Ga 2.76-2.84, 2 Li 2.86, 4 Cd 2.96-3.04
Li  0.0000  0.3910  0.2500 x4  6 Cd 2.93-3.06
Cd  0.0641  0.2000  0.5780 x8  1 Ga 2.79, 3 Li 2.96-3.04, 5 Cd 3.01-3.10
Cd  0.1201  0.4055  0.8805 x8  2 Ga 2.80, 4 Cd 2.83-3.08, 2 Li 2.93-3.06
Cd  0.1900  0.2096  0.2230 x8  1 Ga 2.94, 6 Cd 3.01-3.10
Ga  0.2041  0.0214  0.6727 x8  2 Li 2.76-2.84, 4 Cd 2.79-2.94, 2 Ga 2.90

(6)
Entry from Alexandria via LeMat-Bulk: crystalline RbZrZn3 at its relaxed geometry (GGA-PBE).

**ΔH_f (0 K)**: 0.533 eV/atom
**DOS(E_F)**: 1.307 states/eV/atom
**ΔE to the lowest computed polymorph**: 0 meV per atom

Cell lengths 5.4961, 5.4961, 5.4961 Å; angles 90.00, 90.00, 90.00 degrees
With the nearest neighbours (Å) after each atom.
Space group Pm-3m (No. 221)
One atom of each set of equivalent atoms:
Rb  0.0000  0.0000  0.0000 x1  12 Zn 3.89
Zr  0.5000  0.5000  0.5000 x1  6 Zn 2.75
Zn  0.0000  0.5000  0.5000 x3  2 Zr 2.75

(7)
Entry from Alexandria via LeMat-Bulk: crystalline RhW2S at its relaxed geometry (GGA-PBE).

**DOS(E_F)**: 0.681 states/eV/atom
**Formation energy without anion corrections**: 0.797 eV/atom

Cell lengths 5.5964, 5.5964, 10.4708 Å; angles 90.00, 90.00, 90.00 degrees
With the nearest neighbours (Å) after each atom.
Space group I-42d (No. 122)
One atom of each set of equivalent atoms:
Rh  0.0000  0.0000  0.0000 x4  4 W 2.42
W  0.2366  0.2500  0.6250 x8  2 S 2.33, 2 Rh 2.42
S  0.0000  0.0000  0.5000 x4  4 W 2.33

(8)
Entry from Alexandria via LeMat-Bulk: crystalline ZnCr2CoPb at its relaxed geometry (GGA-PBE).

**ΔH_f (0 K)**: 1.884 eV/atom
**DOS(E_F)**: 1.828 states/eV/atom

Cell lengths 5.2134, 5.2134, 4.9645 Å; angles 90.00, 90.00, 90.00 degrees
With the nearest neighbours (Å) after each atom.
Space group P4/mmm (No. 123)
One atom of each set of equivalent atoms:
Zn  0.0000  0.0000  0.0000 x1  2 Pb 2.48
Cr  0.0000  0.5000  0.5000 x2  2 Pb 2.61
Co  0.5000  0.5000  0.0000 x1  8 Cr 3.60, 4 Zn 3.69
Pb  0.0000  0.0000  0.5000 x1  2 Zn 2.48, 4 Cr 2.61